Entry 1:
Below is crystalline CaSn at its relaxed geometry, with properties calculated at the PBE level.

a = 13.014 Å, b = 13.014 Å, c = 4.411 Å
α = 90.00°, β = 90.00°, γ = 90.00°
Fractional positions:
Ca 0.445 0.827 0.000
Ca 0.555 0.173 0.000
Ca 0.173 0.445 0.000
Ca 0.827 0.555 0.000
Ca 0.945 0.327 0.500
Ca 0.055 0.673 0.500
Ca 0.673 0.945 0.500
Ca 0.327 0.055 0.500
Sn 0.322 0.243 0.000
Sn 0.678 0.757 0.000
Sn 0.757 0.322 0.000
Sn 0.243 0.678 0.000
Sn 0.822 0.743 0.500
Sn 0.178 0.257 0.500
Sn 0.257 0.822 0.500
Sn 0.743 0.178 0.500

## Properties
Formation energy in eV/atom: -0.1578
Fermi-level density of states in states/eV per cell: 15.7

Entry 2:
Below is crystalline Ca2Sn3 at its relaxed geometry, with properties calculated at the PBE level.

a = 4.715 Å, b = 7.916 Å, c = 7.916 Å
α = 90.00°, β = 90.00°, γ = 90.00°
Fractional positions:
Ca 0.500 0.827 0.327
Ca 0.500 0.673 0.827
Ca 0.500 0.327 0.173
Ca 0.500 0.173 0.673
Sn 0.000 0.000 0.000
Sn 0.000 0.500 0.500
Sn 0.000 0.129 0.371
Sn 0.000 0.371 0.871
Sn 0.000 0.629 0.129
Sn 0.000 0.871 0.629

## Properties
Formation energy in eV/atom: -0.5270
Fermi-level density of states in states/eV per cell: 4.9

Entry 3:
Below is crystalline CaSn at its relaxed geometry, with properties calculated at the PBE level.

a = 14.635 Å, b = 18.233 Å, c = 3.608 Å
α = 90.00°, β = 90.00°, γ = 90.00°
Fractional positions:
Ca 0.000 0.632 0.000
Ca 0.000 0.368 0.000
Ca 0.250 0.118 0.250
Ca 0.250 0.382 0.250
Ca 0.000 0.132 0.500
Ca 0.000 0.868 0.500
Ca 0.250 0.618 0.750
Ca 0.250 0.882 0.750
Ca 0.500 0.632 0.500
Ca 0.500 0.368 0.500
Ca 0.750 0.118 0.750
Ca 0.750 0.382 0.750
Ca 0.500 0.132 0.000
Ca 0.500 0.868 0.000
Ca 0.750 0.618 0.250
Ca 0.750 0.882 0.250
Sn 0.899 0.000 0.000
Sn 0.101 0.000 0.000
Sn 0.351 0.750 0.250
Sn 0.149 0.750 0.250
Sn 0.899 0.500 0.500
Sn 0.101 0.500 0.500
Sn 0.351 0.250 0.750
Sn 0.149 0.250 0.750
Sn 0.399 0.000 0.500
Sn 0.601 0.000 0.500
Sn 0.851 0.750 0.750
Sn 0.649 0.750 0.750
Sn 0.399 0.500 0.000
Sn 0.601 0.500 0.000
Sn 0.851 0.250 0.250
Sn 0.649 0.250 0.250

## Properties
Formation energy in eV/atom: -0.5573
Fermi-level density of states in states/eV per cell: 10.1

Entry 4:
Below is crystalline CaSn at its relaxed geometry, with properties calculated at the PBE level.

a = 9.527 Å, b = 9.527 Å, c = 9.527 Å
α = 90.00°, β = 90.00°, γ = 90.00°
Last column: magnetic moment on the atom in μB.
Fractional positions:
Ca 0.200 0.200 0.200  0.10
Ca 0.200 0.800 0.800  0.10
Ca 0.800 0.200 0.800  0.10
Ca 0.800 0.800 0.200  0.10
Ca 0.700 0.700 0.700  0.10
Ca 0.700 0.300 0.300  0.10
Ca 0.300 0.700 0.300  0.10
Ca 0.300 0.300 0.700  0.10
Sn 0.385 0.385 0.385  0.12
Sn 0.385 0.615 0.615  0.12
Sn 0.615 0.385 0.615  0.12
Sn 0.615 0.615 0.385  0.12
Sn 0.885 0.885 0.885  0.12
Sn 0.885 0.115 0.115  0.12
Sn 0.115 0.885 0.115  0.12
Sn 0.115 0.115 0.885  0.12

## Properties
Formation energy in eV/atom: 0.0698
Fermi-level density of states in states/eV per cell: 24.5

Entry 5:
Below is crystalline Ca5Sn at its relaxed geometry, with properties calculated at the PBE level.

a = 5.256 Å, b = 5.061 Å, c = 8.250 Å
α = 107.86°, β = 90.00°, γ = 90.00°
Fractional positions:
Ca 0.500 0.840 0.680
Ca 0.000 0.651 0.301
Ca 0.500 0.500 0.000
Ca 0.000 0.349 0.699
Ca 0.500 0.160 0.320
Sn 0.000 0.000 0.000

## Properties
Formation energy in eV/atom: -0.2610
Fermi-level density of states in states/eV per cell: 4.5

Entry 6:
Below is crystalline Ca2Sn at its relaxed geometry, with properties calculated at the PBE level.

a = 5.407 Å, b = 5.407 Å, c = 7.170 Å
α = 90.00°, β = 90.00°, γ = 119.97°
Fractional positions:
Ca 0.666 0.834 0.250
Ca 0.334 0.166 0.750
Ca 0.000 0.500 0.000
Ca 0.000 0.500 0.500
Sn 0.667 0.833 0.750
Sn 0.333 0.167 0.250

## Properties
Formation energy in eV/atom: -0.6444
Fermi-level density of states in states/eV per cell: 0.5

Entry 7:
Below is crystalline Ca3Sn at its relaxed geometry, with properties calculated at the PBE level.

a = 3.830 Å, b = 5.778 Å, c = 7.163 Å
α = 113.79°, β = 105.51°, γ = 90.00°
Fractional positions:
Ca 0.293 0.710 0.587
Ca 0.500 0.417 0.000
Ca 0.707 0.123 0.413
Sn 0.000 0.917 0.000

## Properties
Formation energy in eV/atom: -0.3211
Fermi-level density of states in states/eV per cell: 4.1

Entry 8:
Below is crystalline CaSn5 at its relaxed geometry, with properties calculated at the PBE level.

a = 4.520 Å, b = 6.878 Å, c = 6.878 Å
α = 59.25°, β = 70.82°, γ = 70.82°
Fractional positions:
Ca 0.500 0.500 0.500
Sn 0.160 0.615 0.065
Sn 0.160 0.065 0.615
Sn 0.840 0.935 0.385
Sn 0.840 0.385 0.935
Sn 0.500 0.000 0.000

## Properties
Formation energy in eV/atom: -0.2153
Fermi-level density of states in states/eV per cell: 2.7

Entry 9:
Below is crystalline CaSn at its relaxed geometry, with properties calculated at the PBE level.

a = 6.391 Å, b = 6.391 Å, c = 6.404 Å
α = 90.00°, β = 90.00°, γ = 90.00°
Fractional positions:
Ca 0.189 0.811 0.000
Ca 0.689 0.689 0.500
Ca 0.311 0.311 0.500
Ca 0.811 0.189 0.000
Sn 0.338 0.338 0.000
Sn 0.838 0.162 0.500
Sn 0.162 0.838 0.500
Sn 0.662 0.662 0.000

## Properties
Formation energy in eV/atom: -0.3123
Fermi-level density of states in states/eV per cell: 7.5

Entry 10:
Below is crystalline CaSn6 at its relaxed geometry, with properties calculated at the PBE level.

a = 7.037 Å, b = 7.037 Å, c = 7.037 Å
α = 109.47°, β = 109.47°, γ = 109.47°
Fractional positions:
Ca 0.000 0.000 0.000
Sn 0.250 0.750 0.500
Sn 0.500 0.750 0.250
Sn 0.250 0.500 0.750
Sn 0.750 0.250 0.500
Sn 0.500 0.250 0.750
Sn 0.750 0.500 0.250

## Properties
Formation energy in eV/atom: 0.1485
Fermi-level density of states in states/eV per cell: 4.6

Entry 11:
Below is crystalline CaSn at its relaxed geometry, with properties calculated at the PBE level.

a = 7.303 Å, b = 7.303 Å, c = 7.303 Å
α = 90.00°, β = 90.00°, γ = 90.00°
Last column: magnetic moment on the atom in μB.
Fractional positions:
Ca 0.250 0.250 0.250  0.15
Ca 0.250 0.750 0.750  0.15
Ca 0.750 0.250 0.750  0.15
Ca 0.750 0.750 0.250  0.15
Sn 0.000 0.000 0.000  0.57
Sn 0.000 0.500 0.500  0.57
Sn 0.500 0.000 0.500  0.57
Sn 0.500 0.500 0.000  0.57

## Properties
Formation energy in eV/atom: 0.3493
Fermi-level density of states in states/eV per cell: 18.4

Entry 12:
Below is crystalline CaSn5 at its relaxed geometry, with properties calculated at the PBE level.

a = 4.249 Å, b = 6.283 Å, c = 6.747 Å
α = 103.11°, β = 90.00°, γ = 109.77°
Fractional positions:
Ca 0.000 0.000 0.000
Sn 0.322 0.645 0.178
Sn 0.000 0.000 0.500
Sn 0.678 0.355 0.822
Sn 0.662 0.324 0.340
Sn 0.338 0.676 0.660

## Properties
Formation energy in eV/atom: -0.1984
Fermi-level density of states in states/eV per cell: 2.6